The following is a PBE calculation of a geometry-optimized Th2Fe7 structure, from the Open Quantum Materials Database.

Cell lengths 5.111, 5.111, 24.610 Å; angles 90.00, 90.00, 120.00 degrees
Fractional coordinates of all 36 atoms:
Th (0.333, 0.667, 0.028)
Th (0.333, 0.667, 0.173)
Th (0.333, 0.667, 0.327)
Th (0.333, 0.667, 0.472)
Th (0.667, 0.333, 0.528)
Th (0.667, 0.333, 0.673)
Th (0.667, 0.333, 0.827)
Th (0.667, 0.333, 0.972)
Fe (0.000, 0.000, 0.000)
Fe (0.000, 0.000, 0.168)
Fe (0.000, 0.000, 0.332)
Fe (0.000, 0.000, 0.500)
Fe (0.000, 0.000, 0.668)
Fe (0.000, 0.000, 0.832)
Fe (0.166, 0.332, 0.586)
Fe (0.166, 0.332, 0.914)
Fe (0.166, 0.834, 0.586)
Fe (0.166, 0.834, 0.914)
Fe (0.167, 0.333, 0.750)
Fe (0.167, 0.833, 0.750)
Fe (0.332, 0.166, 0.086)
Fe (0.332, 0.166, 0.414)
Fe (0.333, 0.167, 0.250)
Fe (0.333, 0.667, 0.667)
Fe (0.333, 0.667, 0.833)
Fe (0.667, 0.333, 0.167)
Fe (0.667, 0.333, 0.333)
Fe (0.667, 0.833, 0.750)
Fe (0.668, 0.834, 0.586)
Fe (0.668, 0.834, 0.914)
Fe (0.833, 0.167, 0.250)
Fe (0.833, 0.667, 0.250)
Fe (0.834, 0.166, 0.086)
Fe (0.834, 0.166, 0.414)
Fe (0.834, 0.668, 0.086)
Fe (0.834, 0.668, 0.414)

Calculated values
For the total energy, the calculation gives -294.3 eV per cell. As for the formation enthalpy at 0 K: -0.07 eV per atom. For the spin magnetization, the calculation gives 55.93 μB/cell. As for the space group: No. 194.